VASP calculation (PBE with a Hubbard U) on a geometry-optimized Ba2YCo3O8 structure.

The structure in POSCAR format:
```
Ba2YCo3O8
1.0
3.885 0.000 0.000
0.000 3.885 0.000
0.000 0.000 12.509
Ba Y Co O
2 1 3 8
direct
0.000 0.000 0.170
0.000 0.000 0.830
0.000 0.000 0.500
0.500 0.500 0.000
0.500 0.500 0.346
0.500 0.500 0.654
0.000 0.500 0.000
0.000 0.500 0.387
0.000 0.500 0.613
0.500 0.000 0.000
0.500 0.000 0.387
0.500 0.000 0.613
0.500 0.500 0.202
0.500 0.500 0.798
```

Calculated values
The density of states at the Fermi level comes out at 2.7 states/eV per cell. As for the space group: P4/mmm (123). The size of the total moment is 0.76 μB/atom. The total energy comes out at -6.5394 eV/atom.